Li2CrCdF8 (PBE+U, optimized geometry); ρ = 3.68 g cm⁻³; E_tot = -4.78 eV per atom; V = 12.434 Å³ per atom
1.0
4.723 0.058 0.001
0.108 4.721 -0.001
0.010 0.013 6.693
Cr F Li Cd
1 8 2 1
Direct
0.000 0.000 0.000 Cr
0.199 0.800 0.796 F
0.731 0.732 0.001 F
0.269 0.268 0.999 F
0.801 0.200 0.204 F
0.313 0.312 0.500 F
0.199 0.800 0.204 F
0.801 0.200 0.796 F
0.687 0.688 0.500 F
0.501 0.501 0.274 Li
0.499 0.499 0.726 Li
0.000 0.000 0.500 Cd